1.
First-principles (GGA-PBE) data for a relaxed CsMg4Tl crystal, as listed in the Alexandria database.

CIF file:
```
data_CsMg4Tl
_chemical_formula_sum 'Cs1 Mg4 Tl1'
_cell_length_a 6.440
_cell_length_b 6.440
_cell_length_c 6.440
_cell_angle_alpha 60.00
_cell_angle_beta 60.00
_cell_angle_gamma 60.00
_symmetry_space_group_name_H-M 'P 1'
_symmetry_Int_Tables_number 1
loop_
_symmetry_equiv_pos_as_xyz
'x,y,z'
loop_
_atom_site_label
_atom_site_fract_x
_atom_site_fract_y
_atom_site_fract_z
Cs1 0.250 0.250 0.250
Tl1 0.000 0.000 0.000
Mg1 0.627 0.627 0.118
Mg2 0.627 0.118 0.627
Mg3 0.627 0.627 0.627
Mg4 0.118 0.627 0.627
```

Calculated values
SG: F-43m (216)
formation enthalpy at 0 K: 0.16 eV/atom
total DFT energy (no corrections): -8.62 eV per formula unit

***

2.
First-principles (GGA-PBE) data for a relaxed CsBa2I4 crystal, as listed in the Alexandria database.

CIF file:
```
data_CsBa2I4
_chemical_formula_sum 'Cs2 Ba4 I8'
_cell_length_a 10.564
_cell_length_b 10.561
_cell_length_c 9.298
_cell_angle_alpha 109.38
_cell_angle_beta 109.38
_cell_angle_gamma 114.57
_symmetry_space_group_name_H-M 'P 1'
_symmetry_Int_Tables_number 1
loop_
_symmetry_equiv_pos_as_xyz
'x,y,z'
loop_
_atom_site_label
_atom_site_fract_x
_atom_site_fract_y
_atom_site_fract_z
Cs1 0.249 0.750 0.500
Cs2 0.001 0.000 0.000
Ba1 0.625 0.375 0.750
Ba2 0.625 0.875 0.250
Ba3 0.625 0.375 0.250
Ba4 0.125 0.375 0.750
I1 0.885 0.237 0.279
I2 0.365 0.513 0.221
I3 0.958 0.606 0.721
I4 0.763 0.115 0.721
I5 0.394 0.042 0.279
I6 0.292 0.144 0.779
I7 0.487 0.635 0.779
I8 0.856 0.708 0.221
```

Calculated values
SG: C2/c (15)
formation energy without anion corrections: -1530 meV/atom
total DFT energy (no corrections): -21.61 eV per formula unit

***

3.
First-principles (GGA-PBE) data for a relaxed RbTl9Au2 crystal, as listed in the Alexandria database.

CIF file:
```
data_RbTl9Au2
_chemical_formula_sum 'Rb2 Tl18 Au4'
_cell_length_a 8.609
_cell_length_b 10.222
_cell_length_c 10.222
_cell_angle_alpha 79.79
_cell_angle_beta 65.10
_cell_angle_gamma 65.10
_symmetry_space_group_name_H-M 'P 1'
_symmetry_Int_Tables_number 1
loop_
_symmetry_equiv_pos_as_xyz
'x,y,z'
loop_
_atom_site_label
_atom_site_fract_x
_atom_site_fract_y
_atom_site_fract_z
Rb1 0.500 0.000 0.000
Rb2 0.250 0.500 0.500
Tl1 0.750 0.500 0.500
Tl2 0.000 0.000 0.000
Tl3 0.987 0.935 0.688
Tl4 0.610 0.065 0.312
Tl5 0.672 0.188 0.565
Tl6 0.425 0.812 0.435
Tl7 0.763 0.812 0.565
Tl8 0.140 0.188 0.435
Tl9 0.078 0.935 0.312
Tl10 0.325 0.065 0.688
Tl11 0.763 0.565 0.812
Tl12 0.140 0.435 0.188
Tl13 0.078 0.312 0.935
Tl14 0.325 0.688 0.065
Tl15 0.987 0.688 0.935
Tl16 0.610 0.312 0.065
Tl17 0.672 0.565 0.188
Tl18 0.425 0.435 0.812
Au1 0.875 0.250 0.750
Au2 0.875 0.750 0.250
Au3 0.875 0.250 0.250
Au4 0.375 0.750 0.750
```

Calculated values
SG: I4_1/amd (141)
formation enthalpy at 0 K: -0.05 eV/atom
total DFT energy (no corrections): -29.42 eV per formula unit

***

4.
First-principles (GGA-PBE) data for a relaxed CuPdRh crystal, as listed in the Alexandria database.

CIF file:
```
data_CuPdRh
_chemical_formula_sum 'Cu2 Pd2 Rh2'
_cell_length_a 3.790
_cell_length_b 2.740
_cell_length_c 8.087
_cell_angle_alpha 89.96
_cell_angle_beta 90.00
_cell_angle_gamma 90.00
_symmetry_space_group_name_H-M 'P 1'
_symmetry_Int_Tables_number 1
loop_
_symmetry_equiv_pos_as_xyz
'x,y,z'
loop_
_atom_site_label
_atom_site_fract_x
_atom_site_fract_y
_atom_site_fract_z
Cu1 0.977 0.892 0.745
Cu2 0.477 0.391 0.583
Pd1 0.477 0.393 0.902
Pd2 0.977 0.891 0.426
Rh1 0.477 0.392 0.244
Rh2 0.977 0.892 0.084
```

Calculated values
SG: Pmmn (59)
formation enthalpy at 0 K: 0.00 eV/atom
total DFT energy (no corrections): -16.64 eV per formula unit

***

5.
First-principles (GGA-PBE) data for a relaxed Ti2AlGa4 crystal, as listed in the Alexandria database.

CIF file:
```
data_Ti2AlGa4
_chemical_formula_sum 'Ti2 Al1 Ga4'
_cell_length_a 3.772
_cell_length_b 3.772
_cell_length_c 8.630
_cell_angle_alpha 90.00
_cell_angle_beta 90.00
_cell_angle_gamma 90.00
_symmetry_space_group_name_H-M 'P 1'
_symmetry_Int_Tables_number 1
loop_
_symmetry_equiv_pos_as_xyz
'x,y,z'
loop_
_atom_site_label
_atom_site_fract_x
_atom_site_fract_y
_atom_site_fract_z
Ti1 0.500 0.000 0.749
Ti2 0.000 0.500 0.251
Al1 0.500 0.500 0.000
Ga1 0.500 0.000 0.218
Ga2 0.000 0.500 0.782
Ga3 0.500 0.500 0.500
Ga4 0.000 0.000 0.500
```

Calculated values
SG: P-4m2 (115)
formation enthalpy at 0 K: -0.13 eV/atom
total DFT energy (no corrections): -32.58 eV per formula unit

***

6.
First-principles (GGA-PBE) data for a relaxed Sm4ErTm3S8 crystal, as listed in the Alexandria database.

CIF file:
```
data_Sm4ErTm3S8
_chemical_formula_sum 'Sm4 Er1 Tm3 S8'
_cell_length_a 7.790
_cell_length_b 7.933
_cell_length_c 7.791
_cell_angle_alpha 119.40
_cell_angle_beta 120.00
_cell_angle_gamma 90.00
_symmetry_space_group_name_H-M 'P 1'
_symmetry_Int_Tables_number 1
loop_
_symmetry_equiv_pos_as_xyz
'x,y,z'
loop_
_atom_site_label
_atom_site_fract_x
_atom_site_fract_y
_atom_site_fract_z
Sm1 0.500 0.000 0.000
Sm2 0.500 0.000 0.500
Sm3 0.000 0.000 0.000
Sm4 0.000 0.000 0.500
Er1 0.000 0.500 0.000
Tm1 0.500 0.500 0.000
Tm2 0.500 0.500 0.500
Tm3 0.000 0.500 0.500
S1 0.245 0.733 0.988
S2 0.245 0.733 0.490
S3 0.256 0.267 0.512
S4 0.743 0.733 0.988
S5 0.257 0.267 0.012
S6 0.744 0.733 0.488
S7 0.755 0.267 0.510
S8 0.755 0.267 0.012
```

Calculated values
SG: R-3m (166)
formation energy without anion corrections: -1984 meV/atom
total DFT energy (no corrections): -101.62 eV per formula unit

***

7.
First-principles (GGA-PBE) data for a relaxed NbCl3F crystal, as listed in the Alexandria database.

CIF file:
```
data_NbCl3F
_chemical_formula_sum 'Nb1 Cl3 F1'
_cell_length_a 4.790
_cell_length_b 4.790
_cell_length_c 4.790
_cell_angle_alpha 90.00
_cell_angle_beta 90.00
_cell_angle_gamma 90.00
_symmetry_space_group_name_H-M 'P 1'
_symmetry_Int_Tables_number 1
loop_
_symmetry_equiv_pos_as_xyz
'x,y,z'
loop_
_atom_site_label
_atom_site_fract_x
_atom_site_fract_y
_atom_site_fract_z
Nb1 0.000 0.000 0.000
F1 0.500 0.500 0.500
Cl1 0.000 0.500 0.000
Cl2 0.000 0.000 0.500
Cl3 0.500 0.000 0.000
```

Calculated values
SG: Pm-3m (221)
formation energy without anion corrections: -885 meV/atom
total DFT energy (no corrections): -21.90 eV per formula unit

***

8.
First-principles (GGA-PBE) data for a relaxed NaGeP3 crystal, as listed in the Alexandria database.

CIF file:
```
data_NaGeP3
_chemical_formula_sum 'Na1 Ge1 P3'
_cell_length_a 4.815
_cell_length_b 4.815
_cell_length_c 4.815
_cell_angle_alpha 90.00
_cell_angle_beta 90.00
_cell_angle_gamma 90.00
_symmetry_space_group_name_H-M 'P 1'
_symmetry_Int_Tables_number 1
loop_
_symmetry_equiv_pos_as_xyz
'x,y,z'
loop_
_atom_site_label
_atom_site_fract_x
_atom_site_fract_y
_atom_site_fract_z
P1 0.000 0.500 0.000
P2 0.000 0.000 0.500
P3 0.500 0.000 0.000
Ge1 0.000 0.000 0.000
Na1 0.500 0.500 0.500
```

Calculated values
SG: Pm-3m (221)
formation enthalpy at 0 K: 0.67 eV/atom
total DFT energy (no corrections): -18.83 eV per formula unit

***

9.
First-principles (GGA-PBE) data for a relaxed MgAlSn2 crystal, as listed in the Alexandria database.

CIF file:
```
data_MgAlSn2
_chemical_formula_sum 'Mg2 Al2 Sn4'
_cell_length_a 8.102
_cell_length_b 8.102
_cell_length_c 6.490
_cell_angle_alpha 51.38
_cell_angle_beta 51.38
_cell_angle_gamma 90.00
_symmetry_space_group_name_H-M 'P 1'
_symmetry_Int_Tables_number 1
loop_
_symmetry_equiv_pos_as_xyz
'x,y,z'
loop_
_atom_site_label
_atom_site_fract_x
_atom_site_fract_y
_atom_site_fract_z
Mg1 0.500 0.500 0.000
Mg2 0.250 0.750 0.500
Sn1 0.661 0.125 0.250
Sn2 0.089 0.625 0.250
Sn3 0.375 0.339 0.750
Sn4 0.875 0.911 0.750
Al1 0.000 0.000 0.000
Al2 0.750 0.250 0.500
```

Calculated values
SG: I-42d (122)
formation enthalpy at 0 K: 0.08 eV/atom
total DFT energy (no corrections): -13.01 eV per formula unit

***

10.
First-principles (GGA-PBE) data for a relaxed LiAs2H crystal, as listed in the Alexandria database.

CIF file:
```
data_LiAs2H
_chemical_formula_sum 'Li1 As2 H1'
_cell_length_a 4.260
_cell_length_b 4.260
_cell_length_c 4.260
_cell_angle_alpha 60.00
_cell_angle_beta 60.00
_cell_angle_gamma 60.00
_symmetry_space_group_name_H-M 'P 1'
_symmetry_Int_Tables_number 1
loop_
_symmetry_equiv_pos_as_xyz
'x,y,z'
loop_
_atom_site_label
_atom_site_fract_x
_atom_site_fract_y
_atom_site_fract_z
H1 0.000 0.000 0.000
As1 0.250 0.250 0.250
As2 0.750 0.750 0.750
Li1 0.500 0.500 0.500
```

Calculated values
SG: Fm-3m (225)
total DFT energy (no corrections): -13.12 eV per formula unit

***

11.
First-principles (GGA-PBE) data for a relaxed DyGa2Ni4 crystal, as listed in the Alexandria database.

CIF file:
```
data_DyGa2Ni4
_chemical_formula_sum 'Dy1 Ga2 Ni4'
_cell_length_a 4.091
_cell_length_b 4.091
_cell_length_c 7.556
_cell_angle_alpha 74.29
_cell_angle_beta 74.29
_cell_angle_gamma 60.00
_symmetry_space_group_name_H-M 'P 1'
_symmetry_Int_Tables_number 1
loop_
_symmetry_equiv_pos_as_xyz
'x,y,z'
loop_
_atom_site_label
_atom_site_fract_x
_atom_site_fract_y
_atom_site_fract_z
Dy1 0.000 0.000 0.000
Ga1 0.246 0.246 0.261
Ga2 0.754 0.754 0.739
Ni1 0.435 0.435 0.694
Ni2 0.137 0.137 0.589
Ni3 0.565 0.565 0.306
Ni4 0.863 0.863 0.411
```

Calculated values
SG: R-3m (166)
formation enthalpy at 0 K: -0.39 eV/atom
total DFT energy (no corrections): -36.48 eV per formula unit